The following is a PBE+U calculation of crystalline Ni3Ag3PtO8 at its relaxed geometry, from the Alexandria database.

The total moment is 6.06 μB per cell. The calculation puts the volume at 13.2 Å³ per atom. The total energy is -4.69 eV per atom.

It has space group C2/m (No. 12), with a = 10.554 Å, b = 6.035 Å, c = 7.354 Å, α = 90.00°, β = 122.56° and γ = 90.00°. The distinct sites, in fractional coordinates, are Ni at (0.000, 0.000, 0.000), Ni at (0.250, 0.250, 0.000), Ag at (0.000, 0.000, 0.500), Ag at (0.250, 0.250, 0.500), Pt at (0.000, 0.500, 0.000), O at (0.108, 0.500, 0.846), O at (0.110, 0.000, 0.841) and O at (0.143, 0.251, 0.169).